[1]
ZrNb3Fe at its PBEsol-relaxed geometry. Source: Alexandria via LeMat-Bulk, functional SCAN.

a = 4.7952 Å, b = 4.7952 Å, c = 4.7952 Å
α = 90.00°, β = 90.00°, γ = 90.00°
Last column: nearest neighbours and their distance in Å.
Space group Pm-3m (No. 221)
Unique sites:
1 Zr 0.0000 0.0000 0.0000 x1  6 Nb 2.40
2 Nb 0.0000 0.0000 0.5000 x3  2 Zr 2.40
3 Fe 0.5000 0.5000 0.5000 x1  12 Nb 3.39

Values from the calculation:
- energy of formation from the pure elements (eV per atom) = 1.9005
- ΔE to the lowest computed polymorph (eV per atom) = 1.347
- size of the total moment (μB/cell) = 3.585
- final energy (eV per atom) = -27.74

[2]
ZrNb3Fe at its PBEsol-relaxed geometry. Source: Alexandria via LeMat-Bulk, functional SCAN.

a = 4.5866 Å, b = 4.5866 Å, c = 4.5866 Å
α = 90.00°, β = 90.00°, γ = 90.00°
Last column: nearest neighbours and their distance in Å.
Space group Pm-3m (No. 221)
Unique sites:
1 Zr 0.0000 0.0000 0.0000 x1  12 Nb 3.24
2 Nb 0.0000 0.5000 0.5000 x3  2 Fe 2.29
3 Fe 0.5000 0.5000 0.5000 x1  6 Nb 2.29

Values from the calculation:
- energy of formation from the pure elements (eV per atom) = 0.5539
- ΔE to the lowest computed polymorph (eV per atom) = 0.000
- size of the total moment (μB/cell) = 0.000
- final energy (eV per atom) = -29.09

[3]
NdFe5 at its PBEsol-relaxed geometry. Source: Alexandria via LeMat-Bulk, functional SCAN.

a = 4.9722 Å, b = 4.9722 Å, c = 3.8907 Å
α = 90.00°, β = 90.00°, γ = 120.00°
Last column: nearest neighbours and their distance in Å.
Space group P6/mmm (No. 191)
Unique sites:
1 Nd 0.0000 0.0000 0.0000 x1  18 Fe 2.87-3.16
2 Fe 0.0000 0.5000 0.5000 x3  8 Fe 2.42-2.49
3 Fe 0.3333 0.6667 0.0000 x2  6 Fe 2.42

Values from the calculation:
- energy of formation from the pure elements (eV per atom) = 0.0862
- size of the total moment (μB/cell) = 11.748
- final energy (eV per atom) = -22.29

[4]
NdFe2 at its PBEsol-relaxed geometry. Source: Alexandria via LeMat-Bulk, functional SCAN.

a = 7.2562 Å, b = 7.2562 Å, c = 7.2562 Å
α = 90.00°, β = 90.00°, γ = 90.00°
Last column: nearest neighbours and their distance in Å.
Space group Fd-3m (No. 227, origin choice 2)
Unique sites:
1 Nd 0.1250 0.1250 0.1250 x8  12 Fe 3.01, 4 Nd 3.14
2 Fe 0.0000 0.0000 0.5000 x16  6 Fe 2.57

Values from the calculation:
- energy of formation from the pure elements (eV per atom) = 0.1234
- size of the total moment (μB/cell) = 32.206
- final energy (eV per atom) = -26.49

[5]
Nd3Sc2Fe3O12 at its PBEsol-relaxed geometry. Source: Alexandria via LeMat-Bulk, functional SCAN.

a = 12.6997 Å, b = 12.6997 Å, c = 12.6997 Å
α = 90.00°, β = 90.00°, γ = 90.00°
Last column: nearest neighbours and their distance in Å.
Space group Ia-3d (No. 230)
Unique sites:
1 Nd 0.0000 0.2500 0.1250 x24  8 O 2.43-2.51
2 Sc 0.0000 0.0000 0.0000 x16  6 O 2.10
3 Fe 0.0000 0.2500 0.3750 x24  4 O 1.88
4 O 0.0295 0.0569 0.6526 x96  1 Fe 1.88

Values from the calculation:
- size of the total moment (μB/cell) = 120.000
- final energy (eV per atom) = -17.49

[6]
Sr3NdFe2O8 at its PBEsol-relaxed geometry. Source: Alexandria via LeMat-Bulk, functional SCAN.

a = 5.3146 Å, b = 5.3148 Å, c = 12.3729 Å
α = 90.00°, β = 90.00°, γ = 90.00°
Last column: nearest neighbours and their distance in Å.
Space group Amm2 (No. 38)
Unique sites:
1 Sr 0.0000 0.0000 0.0000 x2  9 O 2.45-2.66
2 Sr 0.0000 0.0000 0.2871 x2  9 O 2.45-2.68
3 Sr 0.5000 0.0000 0.7895 x2  9 O 2.42-2.68
4 Nd 0.5000 0.0000 0.5064 x2  5 O 2.35-2.50
5 Fe 0.0000 0.0000 0.6460 x2  6 O 1.88-1.99
6 Fe 0.5000 0.0000 0.1453 x2  5 O 1.88-1.98
7 O 0.0000 0.0000 0.4850 x2  1 Fe 1.99
8 O 0.0000 0.0000 0.8019 x2  1 Fe 1.93
9 O 0.2539 0.2464 0.6419 x8  2 Fe 1.88
10 O 0.5000 0.0000 0.3165 x2  1 Fe 2.12, 1 Nd 2.35
11 O 0.5000 0.0000 0.9851 x2  1 Fe 1.98

Values from the calculation:
- size of the total moment (μB/cell) = 13.714
- final energy (eV per atom) = -16.74

[7]
NdFe4P12 at its PBEsol-relaxed geometry. Source: Alexandria via LeMat-Bulk, functional SCAN.

a = 7.7217 Å, b = 7.7217 Å, c = 7.7217 Å
α = 90.00°, β = 90.00°, γ = 90.00°
Last column: nearest neighbours and their distance in Å.
Space group Im-3 (No. 204)
Unique sites:
1 Nd 0.0000 0.0000 0.0000 x2  12 P 2.97
2 Fe 0.2500 0.2500 0.2500 x8  6 P 2.22
3 P 0.0000 0.1530 0.3526 x24  2 Fe 2.22, 2 P 2.28-2.36

Values from the calculation:
- energy of formation from the pure elements (eV per atom) = -0.5877
- size of the total moment (μB/cell) = 0.000
- final energy (eV per atom) = -14.76

[8]
NdFe4Sb12 at its PBEsol-relaxed geometry. Source: Alexandria via LeMat-Bulk, functional SCAN.

a = 9.0458 Å, b = 9.0458 Å, c = 9.0458 Å
α = 90.00°, β = 90.00°, γ = 90.00°
Last column: nearest neighbours and their distance in Å.
Space group Im-3 (No. 204)
Unique sites:
1 Nd 0.0000 0.0000 0.0000 x2  12 Sb 3.36
2 Fe 0.2500 0.2500 0.2500 x8  6 Sb 2.51
3 Sb 0.0000 0.3342 0.1632 x24  2 Fe 2.51

Values from the calculation:
- size of the total moment (μB/cell) = 2.023
- final energy (eV per atom) = -33.31